{"formula": "CsHo2Te3", "functional": "PBE-GGA", "state": "relaxed", "lattice": [[8.193, 0.000, 0.000], [0.000, 4.418, 0.000], [-2.865, 0.000, 11.694]], "species": ["Cs", "Cs", "Ho", "Ho", "Ho", "Ho", "Te", "Te", "Te", "Te", "Te", "Te"], "frac_coords": [[0.031, 0.250, 0.343], [0.969, 0.750, 0.657], [0.260, 0.250, 0.992], [0.498, 0.750, 0.311], [0.502, 0.250, 0.689], [0.740, 0.750, 0.008], [0.146, 0.750, 0.134], [0.330, 0.750, 0.526], [0.388, 0.750, 0.847], [0.612, 0.250, 0.153], [0.670, 0.250, 0.474], [0.854, 0.250, 0.866]], "raw_formation_energy_ev_per_atom": -1.2105, "total_energy_ev_per_cell": -53.4, "rho_g_cm3": 6.6, "e_above_lowest_polymorph_ev_per_atom": 0.013}